Entry 1:
VASP calculation (PBE) on crystalline LuZnAgAu at its relaxed geometry.

Unit cell a=4.7625 b=4.7625 c=4.7625 alpha=60.00 beta=60.00 gamma=60.00
With the nearest neighbours (Å) after each atom.
Positions (direct):
Lu: 0.0000 0.0000 0.0000  4 Au 2.92, 4 Ag 2.92
Zn: 0.5000 0.5000 0.5000  4 Au 2.92, 4 Ag 2.92
Ag: 0.2500 0.2500 0.2500  4 Zn 2.92, 4 Lu 2.92
Au: 0.7500 0.7500 0.7500  4 Lu 2.92, 4 Zn 2.92

## Properties
Symmetry = F-43m, No. 216
Total energy = -3.43 eV per atom
N(E_F) = 2.3 states/eV/cell
Crystal system = cubic

Entry 2:
VASP calculation (PBE) on crystalline LuZrAgAu at its relaxed geometry.

Unit cell a=4.9339 b=4.9339 c=4.9339 alpha=60.00 beta=60.00 gamma=60.00
With the nearest neighbours (Å) after each atom.
Positions (direct):
Lu: 0.0000 0.0000 0.0000  4 Ag 3.02, 4 Au 3.02
Zr: 0.5000 0.5000 0.5000  4 Au 3.02, 4 Ag 3.02
Ag: 0.2500 0.2500 0.2500  4 Zr 3.02, 4 Lu 3.02
Au: 0.7500 0.7500 0.7500  4 Zr 3.02, 4 Lu 3.02

## Properties
Symmetry = F-43m, No. 216
Total energy = -5.18 eV per atom
N(E_F) = 5.1 states/eV/cell
Crystal system = cubic

Entry 3:
VASP calculation (PBE) on crystalline Mg3AgAu12 at its relaxed geometry.

Unit cell a=4.1813 b=4.1813 c=16.3467 alpha=90.00 beta=90.00 gamma=90.00
With the nearest neighbours (Å) after each atom.
Positions (direct):
Mg: 0.0000 0.0000 0.0000  12 Au 2.92-2.96
Mg: 0.0000 0.0000 0.2506  12 Au 2.89-2.96
Mg: 0.0000 0.0000 0.7494  12 Au 2.89-2.96
Ag: 0.0000 0.0000 0.5000  12 Au 2.95-2.96
Au: 0.0000 0.5000 0.1244  8 Au 2.91-2.96, 4 Mg 2.92-2.94
Au: 0.0000 0.5000 0.3727  2 Mg 2.89, 8 Au 2.91-2.96, 2 Ag 2.95
Au: 0.0000 0.5000 0.6273  2 Mg 2.89, 8 Au 2.91-2.96, 2 Ag 2.95
Au: 0.0000 0.5000 0.8756  8 Au 2.91-2.96, 4 Mg 2.92-2.94
Au: 0.5000 0.0000 0.1244  8 Au 2.91-2.96, 4 Mg 2.92-2.94
Au: 0.5000 0.0000 0.3727  2 Mg 2.89, 8 Au 2.91-2.96, 2 Ag 2.95
Au: 0.5000 0.0000 0.6273  2 Mg 2.89, 8 Au 2.91-2.96, 2 Ag 2.95
Au: 0.5000 0.0000 0.8756  8 Au 2.91-2.96, 4 Mg 2.92-2.94
Au: 0.5000 0.5000 0.0000  8 Au 2.92, 4 Mg 2.96
Au: 0.5000 0.5000 0.2487  8 Au 2.91, 4 Mg 2.96
Au: 0.5000 0.5000 0.5000  8 Au 2.95, 4 Ag 2.96
Au: 0.5000 0.5000 0.7513  8 Au 2.91, 4 Mg 2.96

## Properties
Symmetry = P4/mmm, No. 123
Total energy = -3.24 eV per atom
N(E_F) = 5.2 states/eV/cell
Crystal system = tetragonal

no.,DFT formation energy (eV per atom)
1,-0.446
2,-0.376
3,-0.303